(1)
! Ca2ZrRe | the Alexandria database | PBE-GGA | relaxed; values from VASP
&SYSTEM
  ibrav = 0, nat = 4, ntyp = 3
/
ATOMIC_SPECIES
Re 186.21 Re.upf
Zr 91.22 Zr.upf
Ca 40.08 Ca.upf
CELL_PARAMETERS angstrom
-2.678 1.068 0.597
-1.402 -4.604 1.946
1.880 1.705 5.387
ATOMIC_POSITIONS angstrom
Re -1.570 -1.342 2.618
Zr -0.630 -0.489 5.312
Ca 0.023 0.021 0.066
Ca 0.917 0.832 2.628
! space-group type	No. 47
! ΔE to the lowest computed polymorph	459.7	meV per atom
! formation energy	658.8	meV/atom
! total magnetic moment	0.000	μB per cell

(2)
! CaZr2Re | the Alexandria database | PBE-GGA | relaxed; values from VASP
&SYSTEM
  ibrav = 0, nat = 4, ntyp = 3
/
ATOMIC_SPECIES
Ca 40.08 Ca.upf
Zr 91.22 Zr.upf
Re 186.21 Re.upf
CELL_PARAMETERS angstrom
4.419 0.000 0.000
0.000 3.155 0.000
0.000 1.338 6.533
ATOMIC_POSITIONS angstrom
Ca 2.209 1.123 1.633
Zr 0.000 4.323 6.188
Zr 0.000 2.418 3.613
Re 2.209 3.370 4.900
! space-group type	No. 10
! ΔE to the lowest computed polymorph	203.7	meV per atom
! formation energy	244.2	meV/atom
! total magnetic moment	0.001	μB per cell

(3)
! Ca2ZrRe | the Alexandria database | PBE-GGA | relaxed; values from VASP
&SYSTEM
  ibrav = 0, nat = 4, ntyp = 3
/
ATOMIC_SPECIES
Ca 40.08 Ca.upf
Re 186.21 Re.upf
Zr 91.22 Zr.upf
CELL_PARAMETERS angstrom
0.000 3.609 3.609
3.609 0.000 3.609
3.609 3.609 0.000
ATOMIC_POSITIONS angstrom
Ca 1.804 1.804 1.804
Ca 5.413 5.413 5.413
Re 3.609 3.609 3.609
Zr 0.000 0.000 0.000
! space-group type	No. 225
! ΔE to the lowest computed polymorph	780.4	meV per atom
! formation energy	979.5	meV/atom
! total magnetic moment	0.000	μB per cell

(4)
! Ca2ZrRe | the Alexandria database | PBE-GGA | relaxed; values from VASP
&SYSTEM
  ibrav = 0, nat = 4, ntyp = 3
/
ATOMIC_SPECIES
Ca 40.08 Ca.upf
Zr 91.22 Zr.upf
Re 186.21 Re.upf
CELL_PARAMETERS angstrom
-3.624 -2.126 -4.291
2.038 -4.185 3.938
-2.628 -0.519 1.243
ATOMIC_POSITIONS angstrom
Ca 0.000 0.000 0.000
Ca -3.126 -1.323 -1.524
Zr -0.793 -3.156 -0.176
Re -0.295 -2.352 2.591
! space-group type	No. 12
! ΔE to the lowest computed polymorph	463.1	meV per atom
! formation energy	662.2	meV/atom
! total magnetic moment	0.000	μB per cell